i.
Compound: BeBr2
Source: Alexandria via LeMat-Bulk
Functional: meta-GGA SCAN
Structure: PBEsol geometry

abc: 6.7223 6.7223 6.7223
angles: 128.82 73.17 131.50
Last column: nearest neighbours and their distance in Å.
Fractional positions:
Be 0.2500 0.2500 0.0000  4 Br 2.18
Be 0.7500 0.7500 0.0000  4 Br 2.18
Br 0.1107 0.2062 0.3170  2 Be 2.18
Br 0.3893 0.7062 0.0955  2 Be 2.18
Br 0.6107 0.2938 0.9045  2 Be 2.18
Br 0.8893 0.7938 0.6830  2 Be 2.18

Calculated values
As for the space group: Ibam. As for the density of states at the Fermi level: 0.00 states/eV/f.u. The magnetization comes out at 0.00 μB per formula unit.


ii.
Compound: BeBr2
Source: Alexandria via LeMat-Bulk
Functional: meta-GGA SCAN
Structure: PBEsol geometry

abc: 3.4568 3.4568 6.3326
angles: 90.00 90.00 120.00
Last column: nearest neighbours and their distance in Å.
Fractional positions:
Be 0.0000 0.0000 0.0000  6 Br 2.42
Br 0.3333 0.6667 0.2149  3 Be 2.42
Br 0.6667 0.3333 0.7851  3 Be 2.42

Calculated values
As for the space group: P-3m1. As for the density of states at the Fermi level: 0.00 states/eV/f.u. The magnetization comes out at 0.00 μB per formula unit.


Which one sits at the bottom of the stability order? ii does.


i.
Compound: CaBe2Br
Source: Alexandria via LeMat-Bulk
Functional: meta-GGA SCAN
Structure: PBEsol geometry

abc: 4.1307 4.1307 5.2257
angles: 90.00 90.00 90.00
Last column: nearest neighbours and their distance in Å.
Fractional positions:
Ca 0.0000 0.0000 0.0000  2 Br 2.61
Be 0.5000 0.5000 0.2751  1 Be 2.35
Be 0.5000 0.5000 0.7249  1 Be 2.35
Br 0.0000 0.0000 0.5000  2 Ca 2.61

Calculated values
As for the space group: P4/mmm. As for the density of states at the Fermi level: 2.22 states/eV/f.u. The magnetization comes out at 0.00 μB per formula unit.


ii.
Compound: CaBe2Br
Source: Alexandria via LeMat-Bulk
Functional: meta-GGA SCAN
Structure: PBEsol geometry

abc: 5.9513 5.9513 5.9513
angles: 146.52 138.52 54.31
Last column: nearest neighbours and their distance in Å.
Fractional positions:
Ca 0.0000 0.0000 0.0000  4 Br 2.72
Be 0.2524 0.7524 0.5000  4 Be 2.72
Be 0.7476 0.2476 0.5000  4 Be 2.72
Br 0.5000 0.5000 0.0000  4 Ca 2.72

Calculated values
As for the space group: Immm. As for the density of states at the Fermi level: 1.52 states/eV/f.u. The magnetization comes out at 0.00 μB per formula unit.


iii.
Compound: CaBe2Br
Source: Alexandria via LeMat-Bulk
Functional: meta-GGA SCAN
Structure: PBEsol geometry

abc: 3.4576 4.2005 5.4467
angles: 90.00 90.00 90.00
Last column: nearest neighbours and their distance in Å.
Fractional positions:
Ca 0.0000 0.0000 0.0000  4 Br 2.72
Be 0.0000 0.5000 0.5000  4 Be 2.72
Be 0.5000 0.0000 0.5000  4 Be 2.72
Br 0.5000 0.5000 0.0000  4 Ca 2.72

Calculated values
As for the space group: Pmmm. As for the density of states at the Fermi level: 2.06 states/eV/f.u. The magnetization comes out at 0.00 μB per formula unit.


Which one sits at the bottom of the stability order? i does.


i.
Compound: BeCdBr2
Source: Alexandria via LeMat-Bulk
Functional: meta-GGA SCAN
Structure: PBEsol geometry

abc: 5.8067 5.8067 5.8067
angles: 146.84 109.51 80.15
Last column: nearest neighbours and their distance in Å.
Fractional positions:
Be 0.0000 0.0000 0.0000  2 Br 2.20
Cd 0.2321 0.7321 0.5000  2 Be 2.65, 2 Br 2.80
Br 0.4861 0.4861 0.0000  2 Cd 2.80
Br 0.8380 0.3380 0.5000  2 Be 2.20

Calculated values
As for the space group: Imm2. As for the density of states at the Fermi level: 0.27 states/eV/f.u. The magnetization comes out at 0.00 μB per formula unit.


ii.
Compound: BeCdBr2
Source: Alexandria via LeMat-Bulk
Functional: meta-GGA SCAN
Structure: PBEsol geometry

abc: 3.8230 3.9191 6.3354
angles: 90.00 90.00 90.00
Last column: nearest neighbours and their distance in Å.
Fractional positions:
Be 0.0000 0.0000 0.0000  4 Br 2.74
Cd 0.5000 0.0000 0.5000  4 Br 2.74
Br 0.0000 0.5000 0.5000  4 Cd 2.74
Br 0.5000 0.5000 0.0000  4 Be 2.74

Calculated values
As for the space group: Pmmm. As for the density of states at the Fermi level: 1.63 states/eV/f.u. The magnetization comes out at 0.00 μB per formula unit.


Which one sits at the bottom of the stability order? ii does.


i.
Compound: Be2BrCl
Source: Alexandria via LeMat-Bulk
Functional: meta-GGA SCAN
Structure: PBEsol geometry

abc: 3.0143 3.0143 7.7565
angles: 90.00 90.00 90.00
Last column: nearest neighbours and their distance in Å.
Fractional positions:
Be 0.0000 0.0000 0.0000  4 Cl 2.47
Be 0.5000 0.5000 0.2610  4 Br 2.48
Br 0.0000 0.0000 0.4257  4 Be 2.48
Cl 0.5000 0.5000 0.8391  4 Be 2.47

Calculated values
As for the space group: P4mm. As for the density of states at the Fermi level: 1.04 states/eV/f.u. The magnetization comes out at 0.00 μB per formula unit.


ii.
Compound: Be2BrCl
Source: Alexandria via LeMat-Bulk
Functional: meta-GGA SCAN
Structure: PBEsol geometry

abc: 3.4400 3.4400 6.8590
angles: 90.00 90.00 124.25
Last column: nearest neighbours and their distance in Å.
Fractional positions:
Be 0.0000 0.0000 0.2433  2 Cl 2.32, 2 Br 2.38
Be 0.0000 0.0000 0.7567  2 Cl 2.32, 2 Br 2.38
Br 0.5000 0.5000 0.5000  4 Be 2.38
Cl 0.5000 0.5000 0.0000  4 Be 2.32

Calculated values
As for the space group: Cmmm. As for the density of states at the Fermi level: 1.53 states/eV/f.u. The magnetization comes out at 0.00 μB per formula unit.


Which one sits at the bottom of the stability order? ii does.


i.
Compound: Be2CrBr
Source: Alexandria via LeMat-Bulk
Functional: meta-GGA SCAN
Structure: PBEsol geometry

abc: 5.3900 5.3900 5.3900
angles: 102.61 102.61 124.30
Last column: nearest neighbours and their distance in Å.
Fractional positions:
Be 0.1092 0.1250 0.4842  2 Br 2.39, 2 Be 2.53, 2 Cr 2.54
Be 0.3750 0.8908 0.0158  2 Br 2.39, 2 Be 2.53, 2 Cr 2.54
Be 0.6408 0.6250 0.5158  2 Br 2.39, 2 Be 2.53, 2 Cr 2.54
Be 0.8750 0.3592 0.9842  2 Br 2.39, 2 Be 2.53, 2 Cr 2.54
Cr 0.2500 0.7500 0.5000  2 Br 2.52, 4 Be 2.54
Cr 0.5000 0.5000 0.0000  2 Br 2.52, 4 Be 2.54
Br 0.0000 0.0000 0.0000  4 Be 2.39, 2 Cr 2.52
Br 0.7500 0.2500 0.5000  4 Be 2.39, 2 Cr 2.52

Calculated values
As for the space group: I-42d. As for the density of states at the Fermi level: 1.00 states/eV/f.u. The magnetization comes out at 3.96 μB per formula unit.


ii.
Compound: Be2CrBr
Source: Alexandria via LeMat-Bulk
Functional: meta-GGA SCAN
Structure: PBEsol geometry

abc: 4.0698 4.0698 3.0761
angles: 90.00 90.00 90.00
Last column: nearest neighbours and their distance in Å.
Fractional positions:
Be 0.0000 0.5000 0.0000  4 Br 2.55, 4 Cr 2.55
Be 0.5000 0.0000 0.0000  4 Br 2.55, 4 Cr 2.55
Cr 0.0000 0.0000 0.5000  8 Be 2.55
Br 0.5000 0.5000 0.5000  8 Be 2.55

Calculated values
As for the space group: P4/mmm. As for the density of states at the Fermi level: 1.53 states/eV/f.u. The magnetization comes out at 2.94 μB per formula unit.


iii.
Compound: Be2CrBr
Source: Alexandria via LeMat-Bulk
Functional: meta-GGA SCAN
Structure: PBEsol geometry

abc: 3.6514 3.6514 5.2581
angles: 90.09 90.09 59.98
Last column: nearest neighbours and their distance in Å.
Fractional positions:
Be 0.0000 0.0000 0.0000  3 Be 2.11, 1 Br 2.35
Be 0.6667 0.6667 0.0303  3 Be 2.11, 3 Cr 2.36
Cr 0.3336 0.3336 0.2306  6 Be 2.36-2.43
Br 0.0008 0.0008 0.5525  1 Be 2.35

Calculated values
As for the space group: Cm. As for the density of states at the Fermi level: 0.43 states/eV/f.u. The magnetization comes out at 3.00 μB per formula unit.


Which one sits at the bottom of the stability order? ii does.


i.
Compound: BeCrBr
Source: Alexandria via LeMat-Bulk
Functional: meta-GGA SCAN
Structure: PBEsol geometry

abc: 2.9850 2.9850 5.8050
angles: 90.00 90.00 120.00
Last column: nearest neighbours and their distance in Å.
Fractional positions:
Be 0.0000 0.0000 0.0000  3 Cr 2.36
Cr 0.3333 0.6667 0.2778  3 Be 2.36, 3 Br 2.41
Br 0.6667 0.3333 0.5679  3 Cr 2.41

Calculated values
As for the space group: P3m1. As for the density of states at the Fermi level: 1.16 states/eV/f.u. The magnetization comes out at 1.34 μB per formula unit.


ii.
Compound: BeCrBr
Source: Alexandria via LeMat-Bulk
Functional: meta-GGA SCAN
Structure: PBEsol geometry

abc: 4.2379 4.2379 4.2379
angles: 60.00 60.00 60.00
Last column: nearest neighbours and their distance in Å.
Fractional positions:
Be 0.0000 0.0000 0.0000  4 Cr 2.60, 4 Br 2.60
Cr 0.7500 0.7500 0.7500  4 Be 2.60
Br 0.2500 0.2500 0.2500  4 Be 2.60

Calculated values
As for the space group: F-43m. As for the density of states at the Fermi level: 1.59 states/eV/f.u. The magnetization comes out at 4.50 μB per formula unit.


Which one sits at the bottom of the stability order? ii does.